Here is a relaxed BSbHC2 crystal from the Alexandria database. Energies are from PBE.

Output
Its volume is 11.08 A^3/atom. The calculated total energy is -4.84 eV per atom. The value obtained for the total moment is 0.000 μB per cell.

a b c (Å): 3.2424 3.2424 5.2713
angles (deg): 90.00 90.00 90.00
Space group P4/mmm (No. 123)
Inequivalent atoms, fractional coordinates:
B  0.0000  0.0000  0.0000
Sb  0.0000  0.0000  0.5000
H  0.5000  0.5000  0.5000
C  0.0000  0.5000  0.0000



Here is a relaxed VBH2C crystal from the Alexandria database. Energies are from PBE.

Output
Its volume is 7.86 A^3/atom. The calculated total energy is -5.78 eV per atom. The value obtained for the total moment is 0.000 μB per cell.

a b c (Å): 2.8007 2.8007 5.0078
angles (deg): 90.00 90.00 90.00
Space group P4/mmm (No. 123)
Inequivalent atoms, fractional coordinates:
V  0.0000  0.0000  0.0000
B  0.0000  0.0000  0.5000
H  0.0000  0.5000  0.5000
C  0.5000  0.5000  0.0000



Here is a relaxed Hf4BC2 crystal from the Alexandria database. Energies are from PBE.

Output
Its volume is 14.38 A^3/atom. For the energy relative to the elements, the calculation gives -0.720 eV per atom. The calculated total energy is -10.00 eV per atom. The value obtained for the total moment is 0.000 μB per cell.

a b c (Å): 3.3034 10.8795 11.2022
angles (deg): 90.00 90.00 90.00
Space group Cmcm (No. 63)
Inequivalent atoms, fractional coordinates:
Hf  0.0000  0.0000  0.0000
Hf  0.0000  0.2699  0.1163
Hf  0.0000  0.4479  0.7500
B  0.0000  0.1086  0.7500
C  0.0000  0.3633  0.5623



Here is a relaxed HfBC2 crystal from the Alexandria database. Energies are from PBE.

Output
Its volume is 9.31 A^3/atom. For the energy relative to the elements, the calculation gives 0.106 eV per atom. The calculated total energy is -8.66 eV per atom. The value obtained for the total moment is 0.000 μB per cell.

a b c (Å): 5.1755 5.1755 5.5621
angles (deg): 90.00 90.00 90.00
Space group I-42d (No. 122)
Inequivalent atoms, fractional coordinates:
Hf  0.0000  0.0000  0.0000
B  0.0000  0.0000  0.5000
C  0.1567  0.2500  0.6250



What is the formula in the first record?
BSbHC2



Which value of calculated total energy does entry 3 give?
-10.00 eV per atom